[1]
First-principles (PBE) data for a relaxed Sc2SnAu2 crystal, as listed in the Alexandria database.

Results
**Calculated total energy**: -26.975 eV/f.u.
**Distance to the lowest polymorph of the same formula**: 16 meV per atom
**DOS(E_F)**: 4.2 states/eV/cell
**M_tot**: 0.000 μB/f.u.
**Formation energy from the elements**: -0.751 eV/atom

```
Sc2SnAu2
1.0
7.663 0.000 0.000
0.000 7.663 0.000
0.000 0.000 3.532
Sc Sn Au
4 2 4
direct
0.667 0.833 0.500
0.333 0.167 0.500
0.167 0.667 0.500
0.833 0.333 0.500
0.000 0.000 0.000
0.500 0.500 0.000
0.870 0.630 0.000
0.370 0.870 0.000
0.630 0.130 0.000
0.130 0.370 0.000
```

=====

[2]
First-principles (PBE) data for a relaxed Sc3SnAu2 crystal, as listed in the Alexandria database.

Results
**Calculated total energy**: -33.826 eV/f.u.
**DOS(E_F)**: 4.6 states/eV/cell
**M_tot**: 0.000 μB/f.u.
**Formation energy from the elements**: -0.712 eV/atom

```
Sc3SnAu2
1.0
-0.123 3.388 0.563
-4.737 -0.376 1.231
4.281 -0.909 6.412
Sc Au Sn
3 2 1
direct
0.500 0.500 0.000
0.500 0.826 0.651
0.500 0.174 0.349
0.000 0.336 0.672
0.000 0.664 0.328
0.000 0.000 0.000
```

=====

[3]
First-principles (PBE) data for a relaxed ScSn3Au crystal, as listed in the Alexandria database.

Results
**Calculated total energy**: -18.977 eV/f.u.
**Distance to the lowest polymorph of the same formula**: 180 meV per atom
**DOS(E_F)**: 6.0 states/eV/cell
**M_tot**: 0.000 μB/f.u.
**Formation energy from the elements**: 0.528 eV/atom

```
ScSn3Au
1.0
5.491 0.000 0.000
0.000 5.491 0.000
0.000 0.000 5.491
Sn Au Sc
3 1 1
direct
0.500 0.000 0.000
0.000 0.000 0.500
0.000 0.500 0.000
0.500 0.500 0.500
0.000 0.000 0.000
```

=====

[4]
First-principles (PBE) data for a relaxed Sc2SnAu2 crystal, as listed in the Alexandria database.

Results
**Calculated total energy**: -27.056 eV/f.u.
**Distance to the lowest polymorph of the same formula**: 0 meV per atom
**DOS(E_F)**: 6.7 states/eV/cell
**M_tot**: 0.000 μB/f.u.
**Formation energy from the elements**: -0.767 eV/atom

```
Sc2SnAu2
1.0
-5.973 2.586 3.986
-4.394 -0.571 -6.214
-1.675 -6.637 1.795
Sc Au Sn
8 8 4
direct
0.186 0.186 0.500
0.814 0.814 0.500
0.649 0.351 0.500
0.351 0.649 0.500
0.851 0.851 0.000
0.686 0.314 0.000
0.314 0.686 0.000
0.149 0.149 0.000
0.131 0.869 0.286
0.869 0.131 0.714
0.631 0.631 0.214
0.369 0.369 0.214
0.369 0.369 0.786
0.131 0.869 0.714
0.869 0.131 0.286
0.631 0.631 0.786
0.500 0.000 0.750
0.500 0.000 0.250
0.000 0.500 0.250
0.000 0.500 0.750
```

=====

[5]
First-principles (PBE) data for a relaxed Sc2SnAu2 crystal, as listed in the Alexandria database.

Results
**Calculated total energy**: -25.477 eV/f.u.
**Distance to the lowest polymorph of the same formula**: 316 meV per atom
**DOS(E_F)**: 2.6 states/eV/cell
**M_tot**: 0.000 μB/f.u.
**Formation energy from the elements**: -0.451 eV/atom

```
Sc2SnAu2
1.0
-0.036 4.329 1.551
0.335 -1.544 4.319
5.685 1.570 2.569
Au Sc Sn
2 2 1
direct
0.380 0.380 0.239
0.620 0.620 0.761
0.750 0.250 0.500
0.250 0.750 0.500
0.000 0.000 0.000
```

=====

[6]
First-principles (PBE) data for a relaxed Sc2SnAu crystal, as listed in the Alexandria database.

Results
**Calculated total energy**: -21.999 eV/f.u.
**DOS(E_F)**: 3.0 states/eV/cell
**M_tot**: 0.000 μB/f.u.
**Formation energy from the elements**: -0.514 eV/atom

```
Sc2SnAu
1.0
-2.541 -2.268 0.827
0.809 -3.084 1.456
-1.188 1.761 8.609
Au Sn Sc
1 1 2
direct
0.000 0.000 0.000
0.500 0.500 0.500
0.742 0.742 0.774
0.258 0.258 0.226
```